# 1
{"formula": "RbAl7Ag12", "functional": "PBE", "state": "optimized geometry", "energy_ev_per_atom": -3.006, "magnetic_moment_mub_per_fu": 0.0, "lattice_angstrom": [[0.454, -5.660, -4.385], [-0.410, -2.937, 7.661], [-6.811, 4.095, -2.079]], "species": ["Rb", "Al", "Al", "Al", "Al", "Al", "Al", "Al", "Ag", "Ag", "Ag", "Ag", "Ag", "Ag", "Ag", "Ag", "Ag", "Ag", "Ag", "Ag"], "fractional_positions": [[0.000, 0.000, 0.000], [0.174, 0.642, 0.000], [0.826, 0.000, 0.358], [0.468, 0.642, 0.642], [0.500, 0.000, 0.000], [0.532, 0.358, 0.358], [0.174, 0.000, 0.642], [0.826, 0.358, 0.000], [0.261, 0.522, 0.261], [0.000, 0.261, 0.739], [0.568, 0.678, 0.000], [0.432, 0.000, 0.322], [0.261, 0.261, 0.522], [0.110, 0.678, 0.678], [0.890, 0.322, 0.322], [0.739, 0.739, 0.478], [0.568, 0.000, 0.678], [0.432, 0.322, 0.000], [0.000, 0.739, 0.261], [0.739, 0.478, 0.739]]}


# 2
{"formula": "NdHgRu", "functional": "PBE", "state": "optimized geometry", "energy_ev_per_atom": -4.724, "magnetic_moment_mub_per_fu": 0.0, "lattice_angstrom": [[4.754, 0.384, -0.246], [-1.717, 4.449, 0.246], [-2.277, -1.940, 6.968]], "species": ["Nd", "Nd", "Hg", "Hg", "Ru", "Ru"], "fractional_positions": [[0.219, 0.620, 0.839], [0.781, 0.380, 0.161], [0.000, 0.000, 0.500], [0.500, 0.500, 0.500], [0.147, 0.025, 0.172], [0.853, 0.975, 0.828]]}


# 3
{"formula": "Ce2HgPt3", "functional": "PBE", "state": "optimized geometry", "energy_ev_per_atom": -5.827, "magnetic_moment_mub_per_fu": 1.1, "lattice_angstrom": [[6.122, -0.901, 0.000], [-1.138, 6.082, 0.000], [-2.492, -2.591, 7.468]], "species": ["Ce", "Ce", "Ce", "Ce", "Hg", "Hg", "Pt", "Pt", "Pt", "Pt", "Pt", "Pt"], "fractional_positions": [[0.250, 0.750, 0.500], [0.747, 0.747, 0.000], [0.750, 0.250, 0.500], [0.253, 0.253, 0.000], [0.676, 0.676, 0.352], [0.324, 0.324, 0.648], [0.350, 0.836, 0.186], [0.164, 0.650, 0.814], [0.650, 0.164, 0.814], [0.836, 0.350, 0.186], [0.142, 0.142, 0.284], [0.858, 0.858, 0.716]]}


# 4
{"formula": "ScAs2Br", "functional": "PBE", "state": "optimized geometry", "de_polymorph_mev_per_atom": 926, "raw_formation_energy_ev_per_atom": 0.12, "magnetic_moment_mub_per_fu": 0.0, "lattice_angstrom": [[-3.070, -3.101, 2.343], [-4.540, 1.509, 1.283], [-3.967, -1.806, -2.352]], "species": ["Sc", "As", "As", "Br"], "fractional_positions": [[0.000, 0.000, 0.000], [0.250, 0.250, 0.250], [0.750, 0.750, 0.750], [0.500, 0.500, 0.500]]}


# 5
{"formula": "Sm2Dy4Bi3N2", "functional": "PBE", "state": "optimized geometry", "raw_formation_energy_ev_per_atom": -1.05, "magnetic_moment_mub_per_fu": 0.0, "lattice_angstrom": [[-3.298, -3.020, 1.420], [1.269, -2.982, -3.393], [9.567, -2.542, 9.057]], "species": ["Sm", "Sm", "Dy", "Dy", "Dy", "Dy", "Bi", "Bi", "Bi", "N", "N"], "fractional_positions": [[0.309, 0.309, 0.617], [0.691, 0.691, 0.383], [0.416, 0.916, 0.832], [0.916, 0.416, 0.832], [0.084, 0.584, 0.168], [0.584, 0.084, 0.168], [0.000, 0.000, 0.000], [0.179, 0.179, 0.359], [0.821, 0.821, 0.641], [0.399, 0.399, 0.799], [0.601, 0.601, 0.201]]}


# 6
{"formula": "Ce3PrDy2N6", "functional": "PBE", "state": "optimized geometry", "raw_formation_energy_ev_per_atom": -1.53, "magnetic_moment_mub_per_fu": 0.3, "lattice_angstrom": [[6.165, 0.000, 0.001], [-3.081, 5.340, 0.001], [-1.028, -1.780, 5.790]], "species": ["Ce", "Ce", "Ce", "Pr", "Dy", "Dy", "N", "N", "N", "N", "N", "N"], "fractional_positions": [[0.167, 0.833, 0.500], [0.833, 0.167, 0.500], [0.500, 0.500, 0.500], [0.000, 0.000, 0.000], [0.333, 0.667, 0.000], [0.667, 0.333, 0.000], [0.915, 0.569, 0.744], [0.738, 0.738, 0.254], [0.085, 0.431, 0.256], [0.569, 0.915, 0.744], [0.262, 0.262, 0.746], [0.431, 0.085, 0.256]]}


# 7
{"formula": "YBeNi", "functional": "PBE", "state": "optimized geometry", "de_polymorph_mev_per_atom": 353, "magnetic_moment_mub_per_fu": 0.0, "lattice_angstrom": [[-0.351, -2.709, -3.299], [2.620, -3.376, -0.287], [-1.525, -3.953, 0.628]], "species": ["Y", "Ni", "Be"], "fractional_positions": [[0.000, 0.000, 0.000], [0.750, 0.750, 0.750], [0.500, 0.500, 0.500]]}


# 8
{"formula": "GaPOs2I", "functional": "PBE", "state": "optimized geometry", "raw_formation_energy_ev_per_atom": 1.16, "magnetic_moment_mub_per_fu": 3.0, "lattice_angstrom": [[-0.509, -0.428, -4.360], [6.224, -1.915, -0.539], [-1.242, -4.195, 0.557]], "species": ["I", "P", "Os", "Os", "Ga"], "fractional_positions": [[0.000, 0.500, 0.000], [0.000, 0.000, 0.000], [0.000, 0.000, 0.500], [0.500, 0.000, 0.000], [0.500, 0.500, 0.500]]}


# 9
{"formula": "Hf2ZrAu2", "functional": "PBE", "state": "optimized geometry", "de_polymorph_mev_per_atom": 98, "magnetic_moment_mub_per_fu": 0.0, "lattice_angstrom": [[-0.642, -1.483, 2.954], [-0.826, -2.991, -1.680], [8.132, -4.150, -0.314]], "species": ["Hf", "Hf", "Zr", "Au", "Au"], "fractional_positions": [[0.500, 0.391, 0.217], [0.500, 0.609, 0.783], [0.000, 0.000, 0.000], [0.000, 0.189, 0.622], [0.000, 0.811, 0.378]]}


# 10
{"formula": "V5GeB", "functional": "PBE", "state": "optimized geometry", "energy_ev_per_atom": -8.255, "magnetic_moment_mub_per_fu": 0.0, "lattice_angstrom": [[-4.366, 0.452, -2.352], [-0.730, -4.738, 1.349], [-2.110, 3.148, 6.488]], "species": ["V", "V", "V", "V", "V", "V", "V", "V", "V", "V", "Ge", "Ge", "B", "B"], "fractional_positions": [[0.816, 0.625, 0.027], [0.098, 0.636, 0.358], [0.625, 0.816, 0.527], [0.881, 0.119, 0.250], [0.364, 0.902, 0.142], [0.636, 0.098, 0.858], [0.119, 0.881, 0.750], [0.375, 0.184, 0.473], [0.902, 0.364, 0.642], [0.184, 0.375, 0.973], [0.540, 0.460, 0.250], [0.460, 0.540, 0.750], [0.000, 0.000, 0.000], [0.000, 0.000, 0.500]]}


# 11
{"formula": "Ce2NdLu", "functional": "PBE", "state": "optimized geometry", "de_polymorph_mev_per_atom": 11, "magnetic_moment_mub_per_fu": 1.6, "lattice_angstrom": [[-2.018, -0.613, -2.767], [0.611, -3.411, 0.311], [-8.076, -0.892, 6.087]], "species": ["Lu", "Nd", "Ce", "Ce"], "fractional_positions": [[0.500, 0.500, 0.000], [0.500, 0.500, 0.500], [0.000, 0.000, 0.757], [0.000, 0.000, 0.243]]}


# 12
{"formula": "Sm6Sn3Te", "functional": "PBE", "state": "optimized geometry", "raw_formation_energy_ev_per_atom": -0.62, "magnetic_moment_mub_per_fu": 1.2, "lattice_angstrom": [[7.686, 0.000, 0.000], [0.000, 9.535, -0.092], [0.000, -2.217, 9.274]], "species": ["Sm", "Sm", "Sm", "Sm", "Sm", "Sm", "Sm", "Sm", "Sm", "Sm", "Sm", "Sm", "Sn", "Sn", "Sn", "Sn", "Sn", "Sn", "Te", "Te"], "fractional_positions": [[0.150, 0.722, 0.636], [0.650, 0.636, 0.722], [0.234, 0.453, 0.905], [0.734, 0.905, 0.453], [0.255, 0.000, 0.000], [0.637, 0.255, 0.745], [0.137, 0.745, 0.255], [0.755, 0.000, 0.000], [0.234, 0.095, 0.547], [0.734, 0.547, 0.095], [0.150, 0.364, 0.278], [0.650, 0.278, 0.364], [0.485, 0.932, 0.717], [0.985, 0.717, 0.932], [0.355, 0.418, 0.582], [0.855, 0.582, 0.418], [0.985, 0.068, 0.283], [0.485, 0.283, 0.068], [0.003, 0.168, 0.832], [0.503, 0.832, 0.168]]}


Record-wise ρ values, in g/cm³: 6.8, 9.8, 13.1, 5.3, 9.3, 8.5, 4.7, 7.9, 13.1, 6.2, 8.1, 6.8